# 1
BeFe2Co: relaxed, PBE-GGA.

Unit cell a=2.912 b=3.863 c=7.391 alpha=90.00 beta=90.00 gamma=90.00
Atoms (fractional coordinates):
Be (0.000, 0.000, 0.000)
Be (0.500, 0.500, 0.000)
Fe (0.000, 0.000, 0.504)
Fe (0.000, 0.500, 0.233)
Fe (0.500, 0.000, 0.233)
Fe (0.500, 0.500, 0.504)
Co (0.000, 0.500, 0.771)
Co (0.500, 0.000, 0.771)

Values from the calculation:
- DFT formation energy (eV/atom) = -0.050
- M_tot (μB per cell) = 11.474
- energy (eV per atom) = -6.990

***

# 2
POsN: relaxed, PBE-GGA.

Unit cell a=2.740 b=2.740 c=14.995 alpha=90.00 beta=90.00 gamma=120.00
Atoms (fractional coordinates):
P (0.000, 0.000, 0.000)
P (0.333, 0.667, 0.667)
P (0.667, 0.333, 0.333)
Os (0.000, 0.000, 0.544)
Os (0.333, 0.667, 0.211)
Os (0.667, 0.333, 0.877)
N (0.000, 0.000, 0.398)
N (0.333, 0.667, 0.065)
N (0.667, 0.333, 0.731)

Values from the calculation:
- energy above the most stable polymorph in this dataset (meV per atom) = 89
- raw formation energy (eV/atom) = 0.21
- M_tot (μB per cell) = 0.000
- energy (eV per atom) = -8.114

***

Which of these has the highest M_tot?
BeFe2Co

***

Among the records above, which one has the lowest energy?
POsN

***

Which of these has the lowest M_tot?
POsN